PBE-GGA Tl2TcAu, relaxed; SG = P2/m (10); energy relative to the lowest polymorph listed for this composition = 171 meV/atom; energy relative to the elements = 0.64 eV per atom; energy = -3.95 eV/atom
1.0
-3.094 3.062 1.144
-2.300 -2.111 -0.569
-0.293 -2.335 5.455
Au Tc Tl
1 1 2
direct
0.500 0.250 0.250
0.500 0.750 0.750
0.000 0.028 0.991
0.000 0.472 0.509